Mg2Sc2Cu3 | the Alexandria database | PBE-GGA | relaxed; total moment = 0.00 μB/f.u.; final energy = -29.195 eV for the cell shown
1.0
4.448 -0.007 -1.234
-2.403 3.949 -0.001
-0.331 -0.199 7.353
Mg Sc Cu
2 2 3
Cartesian
0.723 0.438 2.573
0.992 3.305 3.545
2.457 1.489 0.220
-0.743 2.255 5.897
0.000 0.000 0.000
1.418 0.863 5.057
0.297 2.880 1.060